1.
Material: PrY2Pt
Method: DFT, PBE-GGA
State: optimized geometry

## Properties
Uncorrected energy (eV per atom): -6.4715
ΔE_f (eV/atom): -0.534
Density of states at the Fermi level (states/eV/atom): 1.006

a = 3.9789 Å, b = 3.9789 Å, c = 27.3777 Å
α = 90.00°, β = 90.00°, γ = 120.00°
Space group R3m (No. 160, hexagonal axes)
Symmetry-distinct sites (fractional):
Pr 0.0000 0.0000 0.0000
Y 0.0000 0.0000 0.5568
Y 0.0000 0.0000 0.7718
Pt 0.0000 0.0000 0.1637


2.
Material: AlCdIn
Method: DFT, PBE-GGA
State: optimized geometry

## Properties
Uncorrected energy (eV per atom): -2.3346
ΔE_f (eV/atom): 0.131
Density of states at the Fermi level (states/eV/atom): 0.296

a = 15.851 Å, b = 3.127 Å, c = 5.417 Å
α = 90.00°, β = 90.00°, γ = 90.00°
Space group Amm2 (No. 38)
Symmetry-distinct sites (fractional):
Al 0.164 0.000 0.000
Cd 0.320 0.000 0.333
In 0.000 0.000 0.666
In 0.500 0.000 0.665


3.
Material: Dy2Tm2Sc5
Method: DFT, PBE-GGA
State: optimized geometry

## Properties
Uncorrected energy (eV per atom): -5.3398
ΔE_f (eV/atom): 0.194
Density of states at the Fermi level (states/eV/atom): 1.422

a = 11.622 Å, b = 8.269 Å, c = 10.430 Å
α = 90.00°, β = 90.00°, γ = 90.00°
Space group Ima2 (No. 46)
Symmetry-distinct sites (fractional):
Dy 0.000 0.000 0.000
Dy 0.250 0.106 0.123
Tm 0.106 0.127 0.433
Sc 0.099 0.692 0.745
Sc 0.125 0.063 0.736
Sc 0.250 0.713 0.004


4.
Material: TcNiOs
Method: DFT, PBE-GGA
State: optimized geometry

## Properties
Uncorrected energy (eV per atom): -9.0249
ΔE_f (eV/atom): 0.101
Density of states at the Fermi level (states/eV/atom): 0.955

a = 2.6973 Å, b = 2.6973 Å, c = 6.4593 Å
α = 90.00°, β = 90.00°, γ = 120.00°
Space group P3m1 (No. 156)
Symmetry-distinct sites (fractional):
Tc 0.0000 0.0000 0.0000
Ni 0.6667 0.3333 0.3345
Os 0.3333 0.6667 0.6681


5.
Material: Cs2PdRuO6
Method: DFT, PBE-GGA
State: optimized geometry

## Properties
Uncorrected energy (eV per atom): -5.5455
Density of states at the Fermi level (states/eV/atom): 0.523
ΔE_f (raw) (kcal/mol of atoms): -21.98

a = 6.4800 Å, b = 6.4800 Å, c = 5.3103 Å
α = 90.00°, β = 90.00°, γ = 120.00°
Space group P-3m1 (No. 164)
Symmetry-distinct sites (fractional):
Cs 0.3333 0.6667 0.2328
Pd 0.0000 0.0000 0.0000
Ru 0.0000 0.0000 0.5000
O 0.1334 0.2668 0.7387


6.
Material: Tm5Tl2Rh
Method: DFT, PBE-GGA
State: optimized geometry

## Properties
Uncorrected energy (eV per atom): -4.3713
ΔE_f (eV/atom): -0.066
Density of states at the Fermi level (states/eV/atom): 1.103

a = 5.342 Å, b = 16.332 Å, c = 12.338 Å
α = 90.00°, β = 90.00°, γ = 90.00°
Space group Cmcm (No. 63)
Symmetry-distinct sites (fractional):
Tm 0.000 0.078 0.103
Tm 0.000 0.290 0.750
Tm 0.000 0.299 0.071
Tl 0.000 0.112 0.632
Rh 0.000 0.195 0.250


7.
Material: Al3NiS
Method: DFT, PBE-GGA
State: optimized geometry

## Properties
Uncorrected energy (eV per atom): -4.3275
Density of states at the Fermi level (states/eV/atom): 0.818
ΔE_f (raw) (kcal/mol of atoms): -2.31

a = 4.506 Å, b = 4.506 Å, c = 4.506 Å
α = 90.00°, β = 90.00°, γ = 90.00°
Space group Pm-3m (No. 221)
Symmetry-distinct sites (fractional):
Al 0.000 0.000 0.500
Ni 0.000 0.000 0.000
S 0.500 0.500 0.500


8.
Material: MgAlTl2
Method: DFT, PBE-GGA
State: optimized geometry

## Properties
Uncorrected energy (eV per atom): -2.3930
ΔE_f (eV/atom): 0.124
Density of states at the Fermi level (states/eV/atom): 0.572

a = 3.3727 Å, b = 3.3727 Å, c = 30.8102 Å
α = 90.00°, β = 90.00°, γ = 120.00°
Space group R3m (No. 160, hexagonal axes)
Symmetry-distinct sites (fractional):
Mg 0.0000 0.0000 0.0000
Al 0.0000 0.0000 0.7391
Tl 0.0000 0.0000 0.2490
Tl 0.0000 0.0000 0.4869